Record 1
Entry from Alexandria: Tm5NiIr4 after structural relaxation (GGA-PBE).

Output
As for the space group: P4/mmm (123). Its energy is -71.8 eV/cell. The formation energy is -0.826 eV per atom.

Lattice parameters (Å, degrees): 3.3236 3.3236 17.3670 90.00 90.00 90.00
Last column: nearest neighbours and their distance in Å.
Atoms (fractional coordinates):
Tm 0.0000 0.0000 0.0000  8 Ir 2.93
Tm 0.0000 0.0000 0.2010  8 Ir 2.92-2.94
Tm 0.0000 0.0000 0.4011  4 Ir 2.90, 4 Ni 2.91
Tm 0.0000 0.0000 0.5989  4 Ir 2.90, 4 Ni 2.91
Tm 0.0000 0.0000 0.7990  8 Ir 2.92-2.94
Ni 0.5000 0.5000 0.5000  8 Tm 2.91
Ir 0.5000 0.5000 0.1007  8 Tm 2.92-2.93
Ir 0.5000 0.5000 0.3030  8 Tm 2.90-2.94
Ir 0.5000 0.5000 0.6970  8 Tm 2.90-2.94
Ir 0.5000 0.5000 0.8993  8 Tm 2.92-2.93



Record 2
Entry from Alexandria: Ta2ReHIr after structural relaxation (GGA-PBE).

Output
As for the space group: P4/mmm (123). Its energy is -49.4 eV/cell. Its distance to the lowest polymorph of the same formula is 0.03 eV/f.u.

Lattice parameters (Å, degrees): 4.3043 4.3043 3.6649 90.00 90.00 90.00
Last column: nearest neighbours and their distance in Å.
Atoms (fractional coordinates):
Ta 0.0000 0.5000 0.0000  2 H 2.15
Ta 0.5000 0.0000 0.0000  2 H 2.15
Re 0.0000 0.0000 0.5000  8 Ta 2.83, 4 Ir 3.04
H 0.5000 0.5000 0.0000  2 Ir 1.83
Ir 0.5000 0.5000 0.5000  2 H 1.83



Record 3
Entry from Alexandria: Ac2MgZn2 after structural relaxation (GGA-PBE).

Output
As for the space group: Immm (71). Its energy is -26.7 eV/cell. The formation energy is -0.196 eV per atom. Its distance to the lowest polymorph of the same formula is 0.07 eV/f.u.

Lattice parameters (Å, degrees): 4.6815 6.4193 9.6100 90.00 90.00 90.00
Last column: nearest neighbours and their distance in Å.
Atoms (fractional coordinates):
Ac 0.0000 0.0000 0.2053  6 Zn 3.34-3.38, 2 Mg 3.67
Ac 0.0000 0.0000 0.7947  6 Zn 3.34-3.38, 2 Mg 3.67
Ac 0.5000 0.5000 0.2947  6 Zn 3.34-3.38, 2 Mg 3.67
Ac 0.5000 0.5000 0.7053  6 Zn 3.34-3.38, 2 Mg 3.67
Mg 0.0000 0.5000 0.0000  4 Zn 2.93
Mg 0.5000 0.0000 0.5000  4 Zn 2.93
Zn 0.0000 0.2752 0.5000  1 Zn 2.89, 2 Mg 2.93
Zn 0.0000 0.7248 0.5000  1 Zn 2.89, 2 Mg 2.93
Zn 0.5000 0.2248 0.0000  1 Zn 2.89, 2 Mg 2.93
Zn 0.5000 0.7752 0.0000  1 Zn 2.89, 2 Mg 2.93



Record 4
Entry from Alexandria: PrZn4Pd6 after structural relaxation (GGA-PBE).

Output
As for the space group: P-6m2 (187). Its energy is -47.2 eV/cell. The formation energy is -0.558 eV per atom.

Lattice parameters (Å, degrees): 7.2761 7.2761 4.0312 90.00 90.00 120.00
Last column: nearest neighbours and their distance in Å.
Atoms (fractional coordinates):
Pr 0.0000 0.0000 0.0000  6 Pd 3.21, 6 Zn 3.31
Zn 0.3333 0.6667 0.0000  9 Pd 2.49-2.64
Zn 0.4172 0.2086 0.5000  6 Pd 2.57-2.60, 2 Zn 2.72
Zn 0.7914 0.2086 0.5000  6 Pd 2.57-2.60, 2 Zn 2.72
Zn 0.7914 0.5828 0.5000  6 Pd 2.57-2.60, 2 Zn 2.72
Pd 0.1985 0.3970 0.5000  4 Zn 2.57-2.64
Pd 0.1985 0.8015 0.5000  4 Zn 2.57-2.64
Pd 0.5312 0.0625 0.0000  5 Zn 2.49-2.60
Pd 0.5312 0.4688 0.0000  5 Zn 2.49-2.60
Pd 0.6030 0.8015 0.5000  4 Zn 2.57-2.64
Pd 0.9375 0.4688 0.0000  5 Zn 2.49-2.60



Record 5
Entry from Alexandria: KTeBr2 after structural relaxation (GGA-PBE).

Output
As for the space group: C2/m (12). Its energy is -19.7 eV/cell. Its formation energy from raw total energies is -2.3 eV/f.u. Its distance to the lowest polymorph of the same formula is 0.87 eV/f.u.

Lattice parameters (Å, degrees): 11.6211 3.6408 7.1119 90.00 117.08 90.00
Last column: nearest neighbours and their distance in Å.
Atoms (fractional coordinates):
K 0.0000 0.0000 0.0000  4 Br 3.37, 2 K 3.64
K 0.5000 0.5000 0.0000  4 Br 3.37, 2 K 3.64
Te 0.0000 0.5000 0.5000  4 Br 3.03
Te 0.5000 0.0000 0.5000  4 Br 3.03
Br 0.2288 0.0000 0.7443  2 Te 3.03, 2 K 3.37
Br 0.2712 0.5000 0.2557  2 Te 3.03, 2 K 3.37
Br 0.7288 0.5000 0.7443  2 Te 3.03, 2 K 3.37
Br 0.7712 0.0000 0.2557  2 Te 3.03, 2 K 3.37



Record 6
Entry from Alexandria: CoSiIN2 after structural relaxation (GGA-PBE).

Output
As for the space group: P4/mmm (123). Its energy is -26.5 eV/cell. Its formation energy from raw total energies is 4.2 eV/f.u. Its distance to the lowest polymorph of the same formula is 0.00 eV/f.u.

Lattice parameters (Å, degrees): 3.5122 3.5122 7.0044 90.00 90.00 90.00
Last column: nearest neighbours and their distance in Å.
Atoms (fractional coordinates):
Co 0.0000 0.0000 0.0000  4 I 2.48
Si 0.5000 0.5000 0.5000  4 N 1.76
I 0.5000 0.5000 0.0000  4 Co 2.48
N 0.0000 0.5000 0.5000  2 Si 1.76
N 0.5000 0.0000 0.5000  2 Si 1.76



Record 7
Entry from Alexandria: MgSi2Ru after structural relaxation (GGA-PBE).

Output
As for the space group: Imm2 (44). Its energy is -43.9 eV/cell. Its formation energy from raw total energies is -0.2 eV/f.u.

Lattice parameters (Å, degrees): 3.0225 4.2618 9.1045 90.00 90.00 90.00
Last column: nearest neighbours and their distance in Å.
Atoms (fractional coordinates):
Mg 0.0000 0.0000 0.0000  6 Si 2.62-2.90, 2 Ru 2.91
Mg 0.5000 0.5000 0.5000  6 Si 2.62-2.90, 2 Ru 2.91
Si 0.0000 0.0000 0.5145  2 Ru 2.45, 2 Si 2.58, 4 Mg 2.62
Si 0.0000 0.5000 0.7847  2 Si 2.58, 4 Ru 2.67
Si 0.5000 0.0000 0.2847  2 Si 2.58, 4 Ru 2.67
Si 0.5000 0.5000 0.0145  2 Ru 2.45, 2 Si 2.58, 4 Mg 2.62
Ru 0.0000 0.5000 0.2264  6 Si 2.45-2.67
Ru 0.5000 0.0000 0.7264  6 Si 2.45-2.67



Record 8
Entry from Alexandria: Pm3YZn after structural relaxation (GGA-PBE).

Output
As for the space group: C2/m (12). Its energy is -43.4 eV/cell. The formation energy is 0.057 eV per atom.

Lattice parameters (Å, degrees): 7.4801 7.4801 7.9169 121.32 121.32 73.49
Last column: nearest neighbours and their distance in Å.
Atoms (fractional coordinates):
Pm 0.0528 0.0528 0.3239  1 Zn 2.94
Pm 0.0830 0.4682 0.2455  2 Zn 2.88-3.21
Pm 0.4682 0.0830 0.2455  2 Zn 2.88-3.21
Pm 0.5318 0.9170 0.7545  2 Zn 2.88-3.21
Pm 0.9170 0.5318 0.7545  2 Zn 2.88-3.21
Pm 0.9472 0.9472 0.6761  1 Zn 2.94
Y 0.4352 0.4352 0.7321  2 Zn 2.87-3.06
Y 0.5648 0.5648 0.2679  2 Zn 2.87-3.06
Zn 0.2583 0.2583 0.8874  2 Y 2.87-3.06, 5 Pm 2.88-3.21
Zn 0.7417 0.7417 0.1126  2 Y 2.87-3.06, 5 Pm 2.88-3.21